[1]
LaIrNO: relaxed, PBE.

Results
Calculated volume, Å³/f.u.: 60
Energy above the lowest structure with this stoichiometry, meV/atom: 644
Calculated density, Mg/m³: 10.01
Energy, eV/atom: -7.360
Total moment, μB/f.u.: 0.006

Unit cell a=5.272 b=5.272 c=4.309 alpha=90.00 beta=90.00 gamma=90.00
Space group P4/nmm (No. 129, origin choice 2)
Unique sites:
1 La 0.250 0.750 0.000 [2 per cell]
2 Ir 0.250 0.250 0.499 [2 per cell]
3 N 0.250 0.250 0.999 [2 per cell]
4 O 0.250 0.750 0.500 [2 per cell]

[2]
K4AgAs2Au: relaxed, PBE.

Results
Calculated volume, Å³/f.u.: 244
Calculated density, Mg/m³: 4.16
Energy, eV/atom: -2.944

Unit cell a=7.799 b=10.102 c=6.192 alpha=90.00 beta=90.56 gamma=90.00
Space group C2/m (No. 12)
Unique sites:
1 K 0.150 0.173 0.247 [8 per cell]
2 Ag 0.000 0.500 0.500 [2 per cell]
3 As 0.239 0.000 0.751 [4 per cell]
4 Au 0.000 0.500 0.000 [2 per cell]

[3]
KBiPd: relaxed, PBE.

Results
Calculated volume, Å³/f.u.: 88
Energy above the lowest structure with this stoichiometry, meV/atom: 351
Calculated density, Mg/m³: 6.72
Energy, eV/atom: -3.447

Unit cell a=7.049 b=7.049 c=7.049 alpha=90.00 beta=90.00 gamma=90.00
Space group F-43m (No. 216)
Unique sites:
1 K 0.000 0.000 0.000 [4 per cell]
2 Bi 0.000 0.000 0.500 [4 per cell]
3 Pd 0.250 0.250 0.750 [4 per cell]

[4]
CdW4C2S: relaxed, PBE.

Results
Calculated volume, Å³/f.u.: 111
Calculated density, Mg/m³: 13.48
Energy, eV/atom: -9.212
Total moment, μB/f.u.: 0.011

Unit cell a=3.1130 b=3.1130 c=13.2648 alpha=90.00 beta=90.00 gamma=120.00
Space group P-6m2 (No. 187)
Unique sites:
1 Cd 0.0000 0.0000 0.0000 [1 per cell]
2 W 0.0000 0.0000 0.3555 [2 per cell]
3 W 0.6667 0.3333 0.1837 [2 per cell]
4 C 0.3333 0.6667 0.2668 [2 per cell]
5 S 0.6667 0.3333 0.5000 [1 per cell]